A plane-wave DFT calculation with PBE was carried out for an optimized crystal structure of ZrAlRh2.

```
ZrAlRh2
1.0
3.034 0.000 0.000
0.000 3.034 0.000
0.000 0.000 6.818
Zr Al Rh
1 1 2
Direct
0.000 0.000 0.000 Zr
0.000 0.000 0.500 Al
0.500 0.500 0.281 Rh
0.500 0.500 0.719 Rh
```

## Properties
ρ = 8.6 Mg/m³
formation energy from the elements = -3.6 eV per formula unit


A plane-wave DFT calculation with PBE was carried out for an optimized crystal structure of ZrAlRh2.

```
ZrAlRh2
1.0
-1.890 1.890 4.474
1.890 -1.890 4.474
1.890 1.890 -4.474
Zr Al Rh
1 1 2
Direct
0.000 0.000 0.000 Zr
0.250 0.750 0.500 Al
0.500 0.500 0.000 Rh
0.750 0.250 0.500 Rh
```

## Properties
ρ = 8.4 Mg/m³
formation energy from the elements = -3.4 eV per formula unit


A plane-wave DFT calculation with PBE was carried out for an optimized crystal structure of ZrAlRh3.

```
ZrAlRh3
1.0
4.421 0.000 0.000
0.000 4.421 0.000
0.000 0.000 4.421
Zr Al Rh
1 1 3
Direct
0.000 0.000 0.000 Zr
0.500 0.500 0.500 Al
0.000 0.500 0.500 Rh
0.500 0.000 0.500 Rh
0.500 0.500 0.000 Rh
```

## Properties
ρ = 8.2 Mg/m³
relative energy among the computed polymorphs = 0.000 eV per atom
formation energy from the elements = -0.9 eV per formula unit


A plane-wave DFT calculation with PBE was carried out for an optimized crystal structure of Zr2AlRh.

```
Zr2AlRh
1.0
3.077 0.000 0.000
0.000 3.077 0.000
0.000 0.000 7.900
Zr Al Rh
2 1 1
Direct
0.000 0.000 0.234 Zr
0.000 0.000 0.766 Zr
0.500 0.500 0.500 Al
0.500 0.500 0.000 Rh
```

## Properties
ρ = 6.9 Mg/m³
formation energy from the elements = -2.2 eV per formula unit


A plane-wave DFT calculation with PBE was carried out for an optimized crystal structure of Zr5AlRh.

```
Zr5AlRh
1.0
4.254 -5.328 0.000
4.254 5.328 0.000
-3.976 0.000 6.680
Zr Al Rh
10 2 2
Direct
0.078 0.922 0.750 Zr
0.222 0.354 0.144 Zr
0.268 0.592 0.900 Zr
0.354 0.222 0.644 Zr
0.408 0.732 0.600 Zr
0.592 0.268 0.400 Zr
0.646 0.778 0.356 Zr
0.732 0.408 0.100 Zr
0.778 0.646 0.856 Zr
0.922 0.078 0.250 Zr
0.187 0.813 0.250 Al
0.813 0.187 0.750 Al
0.000 0.500 0.500 Rh
0.500 0.000 0.000 Rh
```

## Properties
ρ = 6.4 Mg/m³
formation energy from the elements = -0.7 eV per formula unit


A plane-wave DFT calculation with PBE was carried out for an optimized crystal structure of ZrAl2Rh.

```
ZrAl2Rh
1.0
4.018 0.000 0.000
0.000 4.018 0.000
0.000 0.000 4.128
Zr Al Rh
1 2 1
Direct
0.000 0.000 0.000 Zr
0.000 0.500 0.500 Al
0.500 0.000 0.500 Al
0.500 0.500 0.000 Rh
```

## Properties
ρ = 6.2 Mg/m³
formation energy from the elements = -2.5 eV per formula unit


A plane-wave DFT calculation with PBE was carried out for an optimized crystal structure of ZrAl2Rh.

```
ZrAl2Rh
1.0
-1.934 1.934 9.834
1.934 -1.934 9.834
1.934 1.934 -9.834
Zr Al Rh
2 4 2
Direct
0.000 0.000 0.000 Zr
0.750 0.250 0.500 Zr
0.135 0.625 0.010 Al
0.375 0.385 0.510 Al
0.615 0.125 0.990 Al
0.875 0.865 0.490 Al
0.250 0.750 0.500 Rh
0.500 0.500 0.000 Rh
```

## Properties
ρ = 5.6 Mg/m³
formation energy from the elements = -0.9 eV per formula unit


A plane-wave DFT calculation with PBE was carried out for an optimized crystal structure of ZrAl2Rh3.

```
ZrAl2Rh3
1.0
3.008 0.000 0.000
0.000 3.008 0.000
0.000 0.000 9.921
Zr Al Rh
1 2 3
Direct
0.000 0.000 0.000 Zr
0.000 0.000 0.344 Al
0.000 0.000 0.656 Al
0.500 0.500 0.194 Rh
0.500 0.500 0.500 Rh
0.500 0.500 0.806 Rh
```

## Properties
ρ = 8.4 Mg/m³
formation energy from the elements = -5.8 eV per formula unit


A plane-wave DFT calculation with PBE was carried out for an optimized crystal structure of ZrAl2Rh.

```
ZrAl2Rh
1.0
3.124 0.000 0.000
0.000 3.124 0.000
0.000 0.000 6.817
Zr Al Rh
1 2 1
Direct
0.000 0.000 0.000 Zr
0.000 0.000 0.531 Al
0.500 0.500 0.284 Al
0.500 0.500 0.710 Rh
```

## Properties
ρ = 6.2 Mg/m³
formation energy from the elements = -2.5 eV per formula unit


A plane-wave DFT calculation with PBE was carried out for an optimized crystal structure of ZrAl2Rh.

```
ZrAl2Rh
1.0
2.997 0.000 0.000
0.000 4.293 0.000
-1.035 0.000 5.289
Zr Al Rh
1 2 1
Direct
0.000 0.000 0.000 Zr
0.366 0.500 0.732 Al
0.634 0.500 0.268 Al
0.500 0.000 0.500 Rh
```

## Properties
ρ = 6.1 Mg/m³
formation energy from the elements = -2.3 eV per formula unit


A plane-wave DFT calculation with PBE was carried out for an optimized crystal structure of ZrAl4Rh.

```
ZrAl4Rh
1.0
-3.163 3.163 5.515
3.163 -3.163 5.515
3.163 3.163 -5.515
Zr Al Rh
2 8 2
Direct
0.000 0.000 0.000 Zr
0.500 0.500 0.000 Zr
0.002 0.502 0.806 Al
0.196 0.002 0.500 Al
0.304 0.804 0.806 Al
0.498 0.304 0.500 Al
0.502 0.696 0.500 Al
0.696 0.196 0.194 Al
0.804 0.998 0.500 Al
0.998 0.498 0.194 Al
0.250 0.250 0.000 Rh
0.750 0.750 0.000 Rh
```

## Properties
ρ = 4.5 Mg/m³
formation energy from the elements = -2.1 eV per formula unit


A plane-wave DFT calculation with PBE was carried out for an optimized crystal structure of ZrAl2Rh.

```
ZrAl2Rh
1.0
4.232 -1.504 0.000
4.232 1.504 0.000
-1.069 0.000 5.411
Zr Al Rh
1 2 1
Direct
0.000 0.000 0.000 Zr
0.236 0.236 0.696 Al
0.764 0.764 0.304 Al
0.500 0.500 0.500 Rh
```

## Properties
ρ = 6.0 Mg/m³
formation energy from the elements = -2.0 eV per formula unit


A plane-wave DFT calculation with PBE was carried out for an optimized crystal structure of Zr11Al9Rh4.

```
Zr11Al9Rh4
1.0
6.760 -10.256 0.000
6.760 10.256 0.000
0.000 0.000 3.308
Zr Al Rh
11 9 4
Direct
0.000 0.000 0.000 Zr
0.054 0.406 0.000 Zr
0.161 0.839 0.000 Zr
0.309 0.309 0.000 Zr
0.376 0.624 0.000 Zr
0.406 0.054 0.000 Zr
0.594 0.946 0.000 Zr
0.624 0.376 0.000 Zr
0.691 0.691 0.000 Zr
0.839 0.161 0.000 Zr
0.946 0.594 0.000 Zr
0.073 0.214 0.500 Al
0.164 0.631 0.500 Al
0.214 0.073 0.500 Al
0.369 0.836 0.500 Al
0.500 0.500 0.500 Al
0.631 0.164 0.500 Al
0.786 0.927 0.500 Al
0.836 0.369 0.500 Al
0.927 0.786 0.500 Al
0.238 0.445 0.500 Rh
0.445 0.238 0.500 Rh
0.555 0.762 0.500 Rh
0.762 0.555 0.500 Rh
```

## Properties
ρ = 6.0 Mg/m³
formation energy from the elements = -14.2 eV per formula unit


A plane-wave DFT calculation with PBE was carried out for an optimized crystal structure of Zr2AlRh.

```
Zr2AlRh
1.0
2.955 -3.957 0.000
2.955 3.957 0.000
0.000 0.000 3.174
Zr Al Rh
2 1 1
Direct
0.000 0.500 0.000 Zr
0.500 0.000 0.000 Zr
0.000 0.000 0.500 Al
0.500 0.500 0.500 Rh
```

## Properties
ρ = 7.0 Mg/m³
formation energy from the elements = -2.0 eV per formula unit


A plane-wave DFT calculation with PBE was carried out for an optimized crystal structure of Zr2AlRh.

```
Zr2AlRh
1.0
0.000 3.319 3.319
3.319 0.000 3.319
3.319 3.319 0.000
Zr Al Rh
2 1 1
Direct
0.000 0.000 0.000 Zr
0.250 0.250 0.250 Zr
0.750 0.750 0.750 Al
0.500 0.500 0.500 Rh
```

## Properties
ρ = 7.1 Mg/m³
formation energy from the elements = -1.4 eV per formula unit


A plane-wave DFT calculation with PBE was carried out for an optimized crystal structure of Zr2Al2Rh.

```
Zr2Al2Rh
1.0
6.579 0.000 0.000
0.000 6.579 0.000
0.000 0.000 4.238
Zr Al Rh
4 4 2
Direct
0.169 0.331 0.000 Zr
0.331 0.831 0.000 Zr
0.669 0.169 0.000 Zr
0.831 0.669 0.000 Zr
0.139 0.639 0.500 Al
0.361 0.139 0.500 Al
0.639 0.861 0.500 Al
0.861 0.361 0.500 Al
0.000 0.000 0.500 Rh
0.500 0.500 0.500 Rh
```

## Properties
ρ = 6.1 Mg/m³
formation energy from the elements = -3.1 eV per formula unit


A plane-wave DFT calculation with PBE was carried out for an optimized crystal structure of ZrAlRh2.

```
ZrAlRh2
1.0
-3.433 3.433 2.941
3.433 -3.433 2.941
3.433 3.433 -2.941
Zr Al Rh
2 2 4
Direct
0.000 0.000 0.000 Zr
0.750 0.250 0.500 Zr
0.250 0.750 0.500 Al
0.500 0.500 0.000 Al
0.150 0.125 0.525 Rh
0.375 0.850 0.975 Rh
0.600 0.625 0.475 Rh
0.875 0.400 0.025 Rh
```

## Properties
ρ = 7.8 Mg/m³
formation energy from the elements = -1.6 eV per formula unit


A plane-wave DFT calculation with PBE was carried out for an optimized crystal structure of Zr6AlRh.

```
Zr6AlRh
1.0
3.210 -3.751 0.000
3.210 3.751 0.000
-3.184 0.000 6.888
Zr Al Rh
6 1 1
Direct
0.116 0.618 0.730 Zr
0.255 0.255 0.004 Zr
0.382 0.884 0.270 Zr
0.618 0.116 0.730 Zr
0.745 0.745 0.996 Zr
0.884 0.382 0.270 Zr
0.500 0.500 0.500 Al
0.000 0.000 0.500 Rh
```

## Properties
ρ = 6.8 Mg/m³
formation energy from the elements = -1.9 eV per formula unit


A plane-wave DFT calculation with PBE was carried out for an optimized crystal structure of Zr3AlRh.

```
Zr3AlRh
1.0
4.998 0.000 0.000
0.000 4.998 0.000
0.000 0.000 4.998
Zr Al Rh
3 1 1
Direct
0.000 0.000 0.500 Zr
0.000 0.500 0.000 Zr
0.500 0.000 0.000 Zr
0.500 0.500 0.500 Al
0.000 0.000 0.000 Rh
```

## Properties
ρ = 5.4 Mg/m³
relative energy among the computed polymorphs = 0.000 eV per atom
formation energy from the elements = 1.0 eV per formula unit


A plane-wave DFT calculation with PBE was carried out for an optimized crystal structure of ZrAlRh2.

```
ZrAlRh2
1.0
3.052 -3.258 0.000
3.052 3.258 0.000
0.000 0.000 3.205
Zr Al Rh
1 1 2
Direct
0.000 0.000 0.000 Zr
0.500 0.500 0.000 Al
0.000 0.500 0.500 Rh
0.500 0.000 0.500 Rh
```

## Properties
ρ = 8.4 Mg/m³
formation energy from the elements = -3.6 eV per formula unit